A plane-wave DFT calculation with GGA-PBEsol was carried out for a geometry-optimized Mg3Hg structure.

Summary:
E_tot   -1.629 eV per atom
DFT formation energy   -77 kJ/mol of formula units
DOS at the Fermi energy   2.6 states/eV per cell

abc: 4.8926 6.2277 6.2267
angles: 59.99 90.00 90.00
Atoms (fractional coordinates):
Hg1 0.7500 0.6666 0.6669
Hg2 0.2500 0.3334 0.3331
Mg1 0.2500 0.8304 0.3392
Mg2 0.7500 0.1694 0.1696
Mg3 0.7500 0.6610 0.1696
Mg4 0.2500 0.3390 0.8304
Mg5 0.2500 0.8306 0.8304
Mg6 0.7500 0.1696 0.6608



A plane-wave DFT calculation with GGA-PBEsol was carried out for a geometry-optimized ZrOs3F structure.

Summary:
Polymorph energy (0 for the lowest one)   1875 meV/atom
E_tot   -6.752 eV per atom
E_form (uncorrected)   2.781 eV per atom
DOS at the Fermi energy   5.4 states/eV per cell

abc: 4.8060 4.8060 4.8060
angles: 90.00 90.00 90.00
Last column: magnetic moment on the atom in μB.
Atoms (fractional coordinates):
Os1 0.5000 0.0000 0.0000  1.42
Os2 0.0000 0.5000 0.0000  1.42
F1 0.5000 0.5000 0.5000  0.25
Zr1 0.0000 0.0000 0.0000  -0.15
Os3 0.0000 0.0000 0.5000  1.42